# 1
Ta4S5N | PBE | optimized geometry

Unit cell a=3.3841 b=6.8699 c=7.8328 alpha=102.97 beta=102.48 gamma=90.00
Fractional coordinates of all 10 atoms:
Ta1 0.3597 0.9268 0.7195
N1 0.5000 0.0000 0.0000
Ta2 0.0017 0.7913 0.0033
S1 0.8383 0.6586 0.6767
S2 0.1720 0.8320 0.3441
S3 0.1617 0.3414 0.3233
Ta3 0.6403 0.0732 0.2805
Ta4 0.9983 0.2087 0.9967
S4 0.8280 0.1680 0.6559
S5 0.5000 0.5000 0.0000

Results
- space group = C2/m
- uncorrected formation energy (eV/f.u.) = -9.285
- total energy (eV/atom) = -8.566
- density of states at the Fermi level (states/eV/f.u.) = 2.746

# 2
TaTeSN2 | PBE | optimized geometry

Unit cell a=3.9638 b=3.9638 c=6.0800 alpha=90.00 beta=90.00 gamma=90.00
Each line ends with the local moment (μB).
Fractional coordinates of all 5 atoms:
Te1 0.0000 0.0000 0.5000  0.01
N1 0.5000 0.0000 0.0000  0.28
S1 0.5000 0.5000 0.5000  0.02
Ta1 0.0000 0.0000 0.0000  -0.06
N2 0.0000 0.5000 0.0000  0.28

Results
- polymorph energy (0 for the lowest one) (meV/atom) = 64
- space group = P4/mmm
- uncorrected formation energy (eV/f.u.) = 1.881
- total energy (eV/atom) = -6.778
- density of states at the Fermi level (states/eV/f.u.) = 2.561

# 3
TaTeSN2 | PBE | optimized geometry

Unit cell a=3.9024 b=3.9024 c=4.9078 alpha=90.00 beta=90.00 gamma=90.00
Fractional coordinates of all 5 atoms:
N1 0.5000 0.0000 0.0000
S1 0.0000 0.0000 0.0000
Te1 0.0000 0.0000 0.5000
N2 0.0000 0.5000 0.0000
Ta1 0.5000 0.5000 0.5000

Results
- polymorph energy (0 for the lowest one) (meV/atom) = 1533
- space group = P4/mmm
- uncorrected formation energy (eV/f.u.) = 9.224
- total energy (eV/atom) = -5.310
- density of states at the Fermi level (states/eV/f.u.) = 4.732